# 1
Compound: Sc2TiPtN
Source: Alexandria via LeMat-Bulk
Functional: PBE
Structure: optimized geometry

The uncorrected energy is -41.07 eV per cell.

a b c (Å): 4.4043 4.4043 4.0380
angles (deg): 90.00 90.00 90.00
Last column: nearest neighbours and their distance in Å.
Space group P4/mmm (No. 123)
Symmetry-distinct sites (fractional):
Sc (0.0000, 0.5000, 0.0000) (multiplicity 2)  2 N 2.20
Ti (0.0000, 0.0000, 0.5000) (multiplicity 1)  2 N 2.02
Pt (0.5000, 0.5000, 0.5000) (multiplicity 1)  8 Sc 2.99, 4 Ti 3.11
N (0.0000, 0.0000, 0.0000) (multiplicity 1)  2 Ti 2.02, 4 Sc 2.20

***

# 2
Compound: Pm4Dy5Th
Source: Alexandria via LeMat-Bulk
Functional: PBE
Structure: optimized geometry

The uncorrected energy is -93.36 eV per cell. As for the formation energy from the elements: 0.28 eV/atom. For the offset from the most stable computed form, the calculation gives 2.54 eV/f.u.

a b c (Å): 10.4983 10.4983 6.1957
angles (deg): 90.00 90.00 90.00
Last column: nearest neighbours and their distance in Å.
Space group I4mm (No. 107)
Symmetry-distinct sites (fractional):
Pm (0.0000, 0.3195, 0.0000) (multiplicity 8)  2 Dy 3.28, 1 Th 3.61
Dy (0.0000, 0.0000, 0.2532) (multiplicity 2)  1 Th 2.91, 4 Dy 3.20
Dy (0.1877, 0.1877, 0.5083) (multiplicity 8)  1 Dy 3.20, 1 Th 3.27, 2 Pm 3.28
Th (0.0000, 0.0000, 0.7841) (multiplicity 2)  1 Dy 2.91

***

# 3
Compound: CsCd2GeTe4
Source: Alexandria via LeMat-Bulk
Functional: PBE
Structure: optimized geometry

The uncorrected energy is -90.62 eV per cell.

a b c (Å): 11.0658 11.1139 10.0409
angles (deg): 90.00 90.00 90.00
Last column: nearest neighbours and their distance in Å.
Space group Fmm2 (No. 42)
Symmetry-distinct sites (fractional):
Cs (0.0000, 0.0000, 0.0000) (multiplicity 4)  8 Te 3.73-4.07
Cd (0.2500, 0.2500, 0.2501) (multiplicity 8)  4 Te 2.98-2.99
Ge (0.0000, 0.0000, 0.5019) (multiplicity 4)  4 Te 2.68
Te (0.0000, 0.1945, 0.3435) (multiplicity 8)  1 Ge 2.68, 2 Cd 2.99
Te (0.1956, 0.0000, 0.6597) (multiplicity 8)  1 Ge 2.68, 2 Cd 2.98

***

# 4
Compound: TePbC3
Source: Alexandria via LeMat-Bulk
Functional: PBE
Structure: optimized geometry

The uncorrected energy is -18.32 eV per cell.

a b c (Å): 4.5112 4.5112 4.5112
angles (deg): 90.00 90.00 90.00
Last column: nearest neighbours and their distance in Å.
Space group Pm-3m (No. 221)
Symmetry-distinct sites (fractional):
Te (0.0000, 0.0000, 0.0000) (multiplicity 1)  12 C 3.19
Pb (0.5000, 0.5000, 0.5000) (multiplicity 1)  6 C 2.26
C (0.0000, 0.5000, 0.5000) (multiplicity 3)  2 Pb 2.26

***

# 5
Compound: SrPdO3
Source: Alexandria via LeMat-Bulk
Functional: PBE
Structure: optimized geometry

The uncorrected energy is -110.20 eV per cell.

a b c (Å): 12.7906 4.0700 6.2475
angles (deg): 90.00 106.16 90.00
Last column: nearest neighbours and their distance in Å.
Space group C2/m (No. 12)
Symmetry-distinct sites (fractional):
Sr (0.1299, 0.0000, 0.3503) (multiplicity 4)  6 O 2.45-2.69
Pd (0.1542, 0.5000, 0.9024) (multiplicity 4)  5 O 2.08-2.12
O (0.0124, 0.5000, 0.1226) (multiplicity 4)  1 O 1.48
O (0.1686, 0.5000, 0.5764) (multiplicity 4)  1 Pd 2.10
O (0.1740, 0.0000, 0.9680) (multiplicity 4)  3 Pd 2.08-2.12

***

# 6
Compound: Y2AlBiC
Source: Alexandria via LeMat-Bulk
Functional: PBE
Structure: optimized geometry

The uncorrected energy is -31.88 eV per cell. As for the formation energy from the elements: -0.42 eV/atom.

a b c (Å): 5.1089 5.1089 4.0712
angles (deg): 90.00 90.00 90.00
Last column: nearest neighbours and their distance in Å.
Space group P4/mmm (No. 123)
Symmetry-distinct sites (fractional):
Y (0.0000, 0.5000, 0.0000) (multiplicity 2)  2 C 2.55
Al (0.0000, 0.0000, 0.5000) (multiplicity 1)  2 C 2.04
Bi (0.5000, 0.5000, 0.5000) (multiplicity 1)  8 Y 3.27, 4 Al 3.61
C (0.0000, 0.0000, 0.0000) (multiplicity 1)  2 Al 2.04

***

# 7
Compound: Dy2ErRh
Source: Alexandria via LeMat-Bulk
Functional: PBE
Structure: optimized geometry

The uncorrected energy is -92.54 eV per cell. As for the formation energy from the elements: -0.50 eV/atom. For the offset from the most stable computed form, the calculation gives 0.13 eV/f.u.

a b c (Å): 3.8062 11.7848 9.3931
angles (deg): 90.00 90.00 90.00
Last column: nearest neighbours and their distance in Å.
Space group Cmcm (No. 63)
Symmetry-distinct sites (fractional):
Dy (0.0000, 0.1380, 0.0668) (multiplicity 8)  2 Rh 2.85
Er (0.0000, 0.4233, 0.2500) (multiplicity 4)  2 Rh 2.84
Rh (0.0000, 0.2559, 0.7500) (multiplicity 4)  2 Er 2.84, 4 Dy 2.85

***

# 8
Compound: LiY4Ta
Source: Alexandria via LeMat-Bulk
Functional: PBE
Structure: optimized geometry

The uncorrected energy is -138.96 eV per cell. As for the formation energy from the elements: 0.81 eV/atom.

a b c (Å): 8.8545 8.8545 8.8545
angles (deg): 90.00 90.00 90.00
Last column: nearest neighbours and their distance in Å.
Space group F-43m (No. 216)
Symmetry-distinct sites (fractional):
Li (0.0000, 0.0000, 0.0000) (multiplicity 4)  12 Y 3.68, 4 Ta 3.83
Y (0.1233, 0.1233, 0.3767) (multiplicity 16)  6 Y 3.09-3.17
Ta (0.2500, 0.2500, 0.7500) (multiplicity 4)  12 Y 3.67, 4 Li 3.83

***

# 9
Compound: CaIN2F
Source: Alexandria via LeMat-Bulk
Functional: PBE
Structure: optimized geometry

The uncorrected energy is -16.86 eV per cell. For the offset from the most stable computed form, the calculation gives 3.96 eV/f.u.

a b c (Å): 4.7316 4.7316 6.2387
angles (deg): 90.00 90.00 90.00
Last column: nearest neighbours and their distance in Å.
Space group P4/mmm (No. 123)
Symmetry-distinct sites (fractional):
Ca (0.0000, 0.0000, 0.0000) (multiplicity 1)  4 N 2.37
I (0.0000, 0.0000, 0.5000) (multiplicity 1)  2 Ca 3.12, 4 F 3.35
N (0.0000, 0.5000, 0.0000) (multiplicity 2)  2 Ca 2.37
F (0.5000, 0.5000, 0.5000) (multiplicity 1)  4 I 3.35

***

# 10
Compound: BeZnMo4
Source: Alexandria via LeMat-Bulk
Functional: PBE
Structure: optimized geometry

The uncorrected energy is -176.74 eV per cell. As for the formation energy from the elements: 0.69 eV/atom.

a b c (Å): 7.3355 7.3355 7.3355
angles (deg): 90.00 90.00 90.00
Last column: nearest neighbours and their distance in Å.
Space group F-43m (No. 216)
Symmetry-distinct sites (fractional):
Be (0.0000, 0.0000, 0.0000) (multiplicity 4)  12 Mo 3.04, 4 Zn 3.18
Zn (0.2500, 0.2500, 0.2500) (multiplicity 4)  12 Mo 3.04, 4 Be 3.18
Mo (0.1251, 0.1251, 0.6251) (multiplicity 16)  6 Mo 2.59

***

# 11
Compound: Cs2TbGeO4
Source: Alexandria via LeMat-Bulk
Functional: PBE
Structure: optimized geometry

The uncorrected energy is -363.20 eV per cell.

a b c (Å): 5.7951 13.4347 24.6254
angles (deg): 90.00 90.00 90.00
Last column: nearest neighbours and their distance in Å.
Space group Fddd (No. 70, origin choice 2)
Symmetry-distinct sites (fractional):
Cs (0.1250, 0.1250, 0.3046) (multiplicity 16)  4 O 3.51-3.60
Tb (0.1250, 0.1250, 0.1250) (multiplicity 8)  4 O 2.20
Ge (0.1250, 0.1250, 0.6250) (multiplicity 8)  4 O 1.83
O (0.0807, 0.2964, 0.8382) (multiplicity 32)  1 Ge 1.83

***

# 12
Compound: AcPmU2O8
Source: Alexandria via LeMat-Bulk
Functional: PBE
Structure: optimized geometry

The uncorrected energy is -216.16 eV per cell.

a b c (Å): 7.6362 7.6362 7.4846
angles (deg): 90.00 90.00 90.00
Last column: nearest neighbours and their distance in Å.
Space group I-4m2 (No. 119)
Symmetry-distinct sites (fractional):
Ac (0.0000, 0.0000, 0.0000) (multiplicity 2)  8 O 2.51-2.71
Pm (0.0000, 0.5000, 0.7500) (multiplicity 2)  8 O 2.43-2.59
U (0.0000, 0.0000, 0.5000) (multiplicity 2)  4 O 2.03
U (0.0000, 0.5000, 0.2500) (multiplicity 2)  4 O 2.02
O (0.0000, 0.1870, 0.6928) (multiplicity 8)  1 U 2.03
O (0.0000, 0.3258, 0.0468) (multiplicity 8)  1 U 2.02

***

What did the tenth record say?
Compound: BeZnMo4
Source: Alexandria via LeMat-Bulk
Functional: PBE
Structure: optimized geometry

The uncorrected energy is -176.74 eV per cell. As for the formation energy from the elements: 0.69 eV/atom.

a b c (Å): 7.3355 7.3355 7.3355
angles (deg): 90.00 90.00 90.00
Last column: nearest neighbours and their distance in Å.
Space group F-43m (No. 216)
Symmetry-distinct sites (fractional):
Be (0.0000, 0.0000, 0.0000) (multiplicity 4)  12 Mo 3.04, 4 Zn 3.18
Zn (0.2500, 0.2500, 0.2500) (multiplicity 4)  12 Mo 3.04, 4 Be 3.18
Mo (0.1251, 0.1251, 0.6251) (multiplicity 16)  6 Mo 2.59

***

Number 1 is which compound? Sc2TiPtN

***

The highest uncorrected energy belongs to which entry? CaIN2F

***

What did the eighth record say?
Compound: LiY4Ta
Source: Alexandria via LeMat-Bulk
Functional: PBE
Structure: optimized geometry

The uncorrected energy is -138.96 eV per cell. As for the formation energy from the elements: 0.81 eV/atom.

a b c (Å): 8.8545 8.8545 8.8545
angles (deg): 90.00 90.00 90.00
Last column: nearest neighbours and their distance in Å.
Space group F-43m (No. 216)
Symmetry-distinct sites (fractional):
Li (0.0000, 0.0000, 0.0000) (multiplicity 4)  12 Y 3.68, 4 Ta 3.83
Y (0.1233, 0.1233, 0.3767) (multiplicity 16)  6 Y 3.09-3.17
Ta (0.2500, 0.2500, 0.7500) (multiplicity 4)  12 Y 3.67, 4 Li 3.83